(1)
The following is a GGA-PBE calculation of crystalline Ac4Cd2Au at its relaxed geometry, from Alexandria via LeMat-Bulk.

Cell: 5.6456 5.6456 27.6397 Å, 90.00 90.00 120.00°
Last column: nearest neighbours and their distance in Å.
Space group R-3m (No. 166, hexagonal axes)
Unique sites:
Ac 0.0000 0.0000 0.1226 [6 per cell]  1 Au 3.39, 4 Cd 3.40-3.41
Ac 0.0000 0.0000 0.3728 [6 per cell]  3 Au 3.44, 4 Cd 3.50-3.52
Cd 0.0000 0.0000 0.2462 [6 per cell]  8 Ac 3.40-3.52
Au 0.0000 0.0000 0.0000 [3 per cell]  8 Ac 3.39-3.44

Calculated values
* offset from the most stable computed form: 0 meV/atom
* uncorrected energy: -3.365 eV/atom
* crystal system: trigonal
* spin magnetization: 0.0000 μB per atom
* energy relative to the elements: -288 meV per atom

(2)
The following is a GGA-PBE calculation of crystalline AcCd6Au2 at its relaxed geometry, from Alexandria via LeMat-Bulk.

Cell: 12.2156 6.2047 6.2021 Å, 90.00 104.68 90.00°
Last column: nearest neighbours and their distance in Å.
Space group C2/m (No. 12)
Unique sites:
Ac 0.0000 0.0000 0.0000 [2 per cell]  4 Au 3.41, 8 Cd 3.48
Cd 0.0000 0.2541 0.5000 [4 per cell]  2 Au 2.95, 4 Cd 3.03-3.15
Cd 0.2496 0.2416 0.7337 [8 per cell]  2 Au 2.89-2.92, 4 Cd 2.90-3.21
Au 0.0957 0.5000 0.9118 [4 per cell]  1 Au 2.82, 6 Cd 2.89-2.95

Calculated values
* offset from the most stable computed form: 122 meV/atom
* uncorrected energy: -1.988 eV/atom
* crystal system: monoclinic
* spin magnetization: 0.0000 μB per atom
* energy relative to the elements: -193 meV per atom

(3)
The following is a GGA-PBE calculation of crystalline Ac2Cd3Au5 at its relaxed geometry, from Alexandria via LeMat-Bulk.

Cell: 11.3309 13.8890 6.3261 Å, 90.00 90.00 90.00°
Last column: nearest neighbours and their distance in Å.
Space group Ibam (No. 72)
Unique sites:
Ac 0.2302 0.1267 0.0000 [8 per cell]  7 Au 3.36-3.61, 4 Cd 3.54-3.71
Cd 0.0000 0.5000 0.2500 [4 per cell]  6 Au 2.86-2.90, 2 Cd 3.16
Cd 0.0921 0.1485 0.5000 [8 per cell]  5 Au 2.73-2.80
Au 0.0000 0.0000 0.2500 [4 per cell]  4 Cd 2.80
Au 0.0000 0.2942 0.2500 [8 per cell]  3 Cd 2.77-2.86, 2 Au 2.89
Au 0.1732 0.3966 0.0000 [8 per cell]  3 Cd 2.73-2.90, 2 Au 2.89

Calculated values
* uncorrected energy: -3.242 eV/atom
* crystal system: orthorhombic
* spin magnetization: 0.0000 μB per atom
* energy relative to the elements: -507 meV per atom

(4)
The following is a GGA-PBE calculation of crystalline AcCd4Au2 at its relaxed geometry, from Alexandria via LeMat-Bulk.

Cell: 4.3809 17.8161 4.3669 Å, 90.00 90.00 90.00°
Last column: nearest neighbours and their distance in Å.
Space group Cmmm (No. 65)
Unique sites:
Ac 0.0000 0.0000 0.0000 [2 per cell]  8 Au 3.39
Cd 0.0000 0.1833 0.5000 [4 per cell]  2 Au 2.89, 8 Cd 3.09-3.23
Cd 0.0000 0.3154 0.0000 [4 per cell]  2 Au 2.90, 8 Cd 3.09-3.21
Au 0.0000 0.4223 0.5000 [4 per cell]  1 Au 2.77, 4 Cd 2.89-2.90

Calculated values
* offset from the most stable computed form: 5 meV/atom
* uncorrected energy: -2.450 eV/atom
* crystal system: orthorhombic
* spin magnetization: 0.0000 μB per atom
* energy relative to the elements: -404 meV per atom

(5)
The following is a GGA-PBE calculation of crystalline Ac2CdAu4 at its relaxed geometry, from Alexandria via LeMat-Bulk.

Cell: 5.2958 5.2958 24.8428 Å, 90.00 90.00 120.00°
Last column: nearest neighbours and their distance in Å.
Space group R-3m (No. 166, hexagonal axes)
Unique sites:
Ac 0.0000 0.0000 0.2470 [6 per cell]  8 Au 3.16-3.24
Cd 0.0000 0.0000 0.0000 [3 per cell]  8 Au 2.94-3.24
Au 0.0000 0.0000 0.1183 [6 per cell]  1 Cd 2.94, 4 Ac 3.16-3.20
Au 0.0000 0.0000 0.3763 [6 per cell]  4 Ac 3.21-3.24, 3 Cd 3.24, 3 Au 3.58

Calculated values
* offset from the most stable computed form: 0 meV/atom
* uncorrected energy: -3.755 eV/atom
* crystal system: trigonal
* spin magnetization: 0.0000 μB per atom
* energy relative to the elements: -578 meV per atom

(6)
The following is a GGA-PBE calculation of crystalline AcCd6Au2 at its relaxed geometry, from Alexandria via LeMat-Bulk.

Cell: 4.3858 4.3858 11.1975 Å, 90.00 90.00 90.00°
Last column: nearest neighbours and their distance in Å.
Space group P4/mmm (No. 123)
Unique sites:
Ac 0.0000 0.0000 0.0000 [1 per cell]  8 Au 3.39
Cd 0.0000 0.0000 0.5000 [1 per cell]  12 Cd 3.10-3.20
Cd 0.0000 0.5000 0.2921 [4 per cell]  2 Au 2.90, 8 Cd 3.10-3.20
Cd 0.5000 0.5000 0.5000 [1 per cell]  12 Cd 3.10-3.20
Au 0.5000 0.5000 0.1230 [2 per cell]  1 Au 2.76, 4 Cd 2.90

Calculated values
* offset from the most stable computed form: 0 meV/atom
* uncorrected energy: -2.110 eV/atom
* crystal system: tetragonal
* spin magnetization: 0.0000 μB per atom
* energy relative to the elements: -315 meV per atom

(7)
The following is a GGA-PBE calculation of crystalline AcCdAu6 at its relaxed geometry, from Alexandria via LeMat-Bulk.

Cell: 5.5986 5.5986 5.5986 Å, 90.00 90.00 90.00°
Last column: nearest neighbours and their distance in Å.
Space group Pm-3 (No. 200)
Unique sites:
Ac 0.0000 0.0000 0.0000 [1 per cell]  12 Au 3.14
Cd 0.5000 0.5000 0.5000 [1 per cell]  12 Au 3.11
Au 0.0000 0.2560 0.5000 [6 per cell]  2 Au 2.73-2.87

Calculated values
* uncorrected energy: -3.364 eV/atom
* crystal system: cubic
* spin magnetization: 0.0000 μB per atom
* energy relative to the elements: -278 meV per atom

(8)
The following is a GGA-PBE calculation of crystalline AcCdAu2 at its relaxed geometry, from Alexandria via LeMat-Bulk.

Cell: 5.0327 5.0327 4.0899 Å, 90.00 90.00 90.00°
Last column: nearest neighbours and their distance in Å.
Space group P4/mmm (No. 123)
Unique sites:
Ac 0.0000 0.0000 0.0000 [1 per cell]  8 Au 3.24, 4 Cd 3.56
Cd 0.5000 0.5000 0.0000 [1 per cell]  8 Au 3.24, 4 Ac 3.56
Au 0.0000 0.5000 0.5000 [2 per cell]  4 Cd 3.24, 4 Ac 3.24, 4 Au 3.56

Calculated values
* offset from the most stable computed form: 170 meV/atom
* uncorrected energy: -3.374 eV/atom
* crystal system: tetragonal
* spin magnetization: 0.0000 μB per atom
* energy relative to the elements: -479 meV per atom